Here is a relaxed structure of ErHgAu from the Open Quantum Materials Database. Energies are from PBE.

Summary:
* crystal system: hexagonal
* formation enthalpy at 0 K: -1.97 eV/f.u.
* spin magnetization: 0.002 μB/cell

```
data_ErHgAu
_cell_length_a 5.0412
_cell_length_b 5.0412
_cell_length_c 6.0787
_cell_angle_alpha 90.00
_cell_angle_beta 90.00
_cell_angle_gamma 120.00
_symmetry_space_group_name_H-M 'P 63/m m c'
_symmetry_Int_Tables_number 194
_symmetry_space_group_name_Hall '-P 6c 2c'
loop_
_atom_site_label
_atom_site_fract_x
_atom_site_fract_y
_atom_site_fract_z
_atom_site_occupancy
Er1 0.3333 0.6667 0.2500 1
Hg1 0.0000 0.0000 0.0000 1
Au1 0.3333 0.6667 0.7500 1
```